A plane-wave DFT calculation with SCAN was carried out for a PBEsol-optimized structure of KBa2As.

- V (Å³/cell) = 139.1
- E_form (meV per atom) = -113
- crystal system = cubic
- electronic total energy (eV per cell) = -108.07

Structure (extended XYZ):
```
4
Lattice="0.000 4.112 4.112 4.112 0.000 4.112 4.112 4.112 0.000" Properties=species:S:1:pos:R:3 pbc="T T T"
K 0.000 0.000 0.000
Ba 4.112 4.112 4.112
Ba 6.169 6.169 6.169
As 2.056 2.056 2.056
```

=====

A plane-wave DFT calculation with SCAN was carried out for a PBEsol-optimized structure of K5BaNbAs4.

- V (Å³/cell) = 741.5
- E_form (meV per atom) = -764
- crystal system = monoclinic
- electronic total energy (eV per cell) = -406.98

Structure (extended XYZ):
```
22
Lattice="5.137 -8.957 0.000 5.137 8.957 0.000 -0.217 0.000 8.057" Properties=species:S:1:pos:R:3 pbc="T T T"
K 5.029 8.428 4.029
K 2.648 1.260 5.665
K 2.757 -1.260 1.637
K 5.023 2.477 1.399
K 7.128 4.756 4.029
K 4.914 -2.477 5.428
K 7.156 1.245 5.314
K 7.265 -1.245 1.285
K 5.137 -8.428 0.000
K 7.237 -4.756 0.001
Ba 2.933 4.750 3.969
Ba 2.825 -4.750 7.998
Nb 4.899 5.964 7.180
Nb 5.008 -5.964 3.152
As 1.981 1.844 2.483
As 4.993 5.876 1.609
As 4.959 3.598 6.338
As 1.873 -1.844 6.512
As 8.146 1.846 2.230
As 5.067 -3.598 2.310
As 4.885 -5.876 5.638
As 8.037 -1.846 6.258
```

=====

A plane-wave DFT calculation with SCAN was carried out for a PBEsol-optimized structure of KBaAsSe3.

- V (Å³/cell) = 732.5
- crystal system = monoclinic
- formation energy (no corrections) (meV per atom) = -1275
- electronic total energy (eV per cell) = -543.81

Structure (extended XYZ):
```
24
Lattice="9.338 0.000 0.000 0.000 8.984 0.000 -2.991 0.000 8.731" Properties=species:S:1:pos:R:3 pbc="T T T"
K 0.201 0.706 1.943
K -1.295 3.786 6.309
K 7.643 5.198 2.423
K 6.147 8.278 6.788
Ba 2.478 6.428 4.053
Ba 0.983 7.048 8.419
Ba 5.365 1.936 0.312
Ba 3.869 2.556 4.678
As 0.422 0.432 5.573
As 1.918 4.061 1.207
As 4.430 4.924 7.524
As 5.925 8.553 3.158
Se 1.005 6.241 0.800
Se -0.490 7.235 5.166
Se -0.512 0.968 7.717
Se 0.983 3.524 3.352
Se 3.634 0.094 2.413
Se 2.139 4.398 6.779
Se 4.209 4.586 1.952
Se 2.714 8.890 6.318
Se 5.364 5.460 5.379
Se 6.860 8.016 1.014
Se 6.838 1.749 3.566
Se 5.343 2.743 7.931
```

=====

A plane-wave DFT calculation with SCAN was carried out for a PBEsol-optimized structure of BaLa2As.

- V (Å³/cell) = 154.5
- E_form (meV per atom) = -753
- crystal system = trigonal
- electronic total energy (eV per cell) = -148.96

Structure (extended XYZ):
```
4
Lattice="2.072 1.196 10.395 -2.072 1.196 10.395 0.000 -2.392 10.395" Properties=species:S:1:pos:R:3 pbc="T T T"
Ba 0.000 0.000 0.000
La 0.000 0.000 6.926
La 0.000 0.000 24.259
As 0.000 0.000 15.593
```

=====

A plane-wave DFT calculation with SCAN was carried out for a PBEsol-optimized structure of BaLa2As.

- V (Å³/cell) = 117.7
- E_form (meV per atom) = -359
- crystal system = tetragonal
- electronic total energy (eV per cell) = -147.39

Structure (extended XYZ):
```
4
Lattice="-2.371 2.371 5.230 2.371 -2.371 5.230 2.371 2.371 -5.230" Properties=species:S:1:pos:R:3 pbc="T T T"
Ba 0.000 0.000 0.000
La 0.000 0.000 5.230
La 0.000 2.371 2.615
As 2.371 0.000 2.615
```

=====

A plane-wave DFT calculation with SCAN was carried out for a PBEsol-optimized structure of BaLa2As.

- V (Å³/cell) = 136.0
- E_form (meV per atom) = -646
- crystal system = tetragonal
- electronic total energy (eV per cell) = -148.54

Structure (extended XYZ):
```
4
Lattice="4.033 0.000 0.000 0.000 4.033 0.000 0.000 0.000 8.361" Properties=species:S:1:pos:R:3 pbc="T T T"
Ba 0.000 0.000 0.000
La 0.000 0.000 5.059
La 2.016 2.016 3.047
As 2.016 2.016 6.172
```

=====

A plane-wave DFT calculation with SCAN was carried out for a PBEsol-optimized structure of BaLa2As.

- V (Å³/cell) = 115.9
- E_form (meV per atom) = -449
- crystal system = tetragonal
- electronic total energy (eV per cell) = -147.75

Structure (extended XYZ):
```
4
Lattice="4.935 0.000 0.000 0.000 4.935 0.000 0.000 0.000 4.760" Properties=species:S:1:pos:R:3 pbc="T T T"
Ba 0.000 0.000 0.000
La 0.000 2.468 2.380
La 2.468 0.000 2.380
As 2.468 2.468 0.000
```

=====

A plane-wave DFT calculation with SCAN was carried out for a PBEsol-optimized structure of Ba3Li4As4.

- V (Å³/cell) = 260.0
- E_form (meV per atom) = -1058
- crystal system = orthorhombic
- electronic total energy (eV per cell) = -220.61

Structure (extended XYZ):
```
11
Lattice="-2.346 3.562 7.780 2.346 -3.562 7.780 2.346 3.562 -7.780" Properties=species:S:1:pos:R:3 pbc="T T T"
Ba 0.000 0.000 0.000
Ba 2.346 0.000 5.730
Ba 0.000 3.562 2.050
Li 2.346 1.387 -2.741
Li 2.346 1.387 2.741
Li 0.000 2.174 5.039
Li 0.000 2.174 10.521
As 0.000 0.000 3.313
As 2.346 2.318 0.000
As 0.000 1.244 7.780
As 0.000 0.000 12.248
```

=====

A plane-wave DFT calculation with SCAN was carried out for a PBEsol-optimized structure of Ba2LiAs.

- V (Å³/cell) = 133.7
- E_form (meV per atom) = -757
- crystal system = orthorhombic
- electronic total energy (eV per cell) = -104.71

Structure (extended XYZ):
```
4
Lattice="4.592 0.000 0.000 0.000 2.349 6.197 0.000 -2.349 6.197" Properties=species:S:1:pos:R:3 pbc="T T T"
Ba 0.000 0.000 0.000
Ba 2.296 0.000 3.460
Li 0.000 0.000 8.420
As 2.296 0.000 7.064
```

=====

A plane-wave DFT calculation with SCAN was carried out for a PBEsol-optimized structure of Ba2LiAs.

- V (Å³/cell) = 123.0
- E_form (meV per atom) = -453
- crystal system = tetragonal
- electronic total energy (eV per cell) = -103.49

Structure (extended XYZ):
```
4
Lattice="-2.372 2.372 5.463 2.372 -2.372 5.463 2.372 2.372 -5.463" Properties=species:S:1:pos:R:3 pbc="T T T"
Ba 0.000 0.000 0.000
Ba 0.000 2.372 2.732
Li 0.000 0.000 5.463
As 2.372 0.000 2.732
```

=====

A plane-wave DFT calculation with SCAN was carried out for a PBEsol-optimized structure of BaLiAs2.

- V (Å³/cell) = 94.1
- E_form (meV per atom) = -706
- crystal system = tetragonal
- electronic total energy (eV per cell) = -85.15

Structure (extended XYZ):
```
4
Lattice="3.795 0.000 0.000 0.000 3.795 0.000 0.000 0.000 6.536" Properties=species:S:1:pos:R:3 pbc="T T T"
Ba 0.000 0.000 0.000
Li 0.000 0.000 3.268
As 1.897 1.897 2.081
As 1.897 1.897 4.455
```

=====

A plane-wave DFT calculation with SCAN was carried out for a PBEsol-optimized structure of BaLiAs2.

- V (Å³/cell) = 94.6
- E_form (meV per atom) = -293
- crystal system = cubic
- electronic total energy (eV per cell) = -83.49

Structure (extended XYZ):
```
4
Lattice="0.000 3.616 3.616 3.616 0.000 3.616 3.616 3.616 0.000" Properties=species:S:1:pos:R:3 pbc="T T T"
Ba 0.000 0.000 0.000
Li 5.424 5.424 5.424
As 1.808 1.808 1.808
As 3.616 3.616 3.616
```

=====

A plane-wave DFT calculation with SCAN was carried out for a PBEsol-optimized structure of BaLiAs.

- V (Å³/cell) = 153.9
- E_form (meV per atom) = -1116
- crystal system = tetragonal
- electronic total energy (eV per cell) = -130.96

Structure (extended XYZ):
```
6
Lattice="4.620 0.000 0.000 0.000 4.620 0.000 0.000 0.000 7.212" Properties=species:S:1:pos:R:3 pbc="T T T"
Ba 1.155 1.155 1.312
Ba 3.465 3.465 5.900
Li 1.155 3.465 3.606
Li 3.465 1.155 3.606
As 1.155 1.155 5.079
As 3.465 3.465 2.133
```

=====

A plane-wave DFT calculation with SCAN was carried out for a PBEsol-optimized structure of BaLiAs2.

- V (Å³/cell) = 96.6
- E_form (meV per atom) = -275
- crystal system = tetragonal
- electronic total energy (eV per cell) = -83.42

Structure (extended XYZ):
```
4
Lattice="3.715 0.000 0.000 0.000 3.715 0.000 0.000 0.000 7.004" Properties=species:S:1:pos:R:3 pbc="T T T"
Ba 0.000 0.000 0.000
Li 1.857 1.857 2.533
As 0.000 0.000 3.749
As 1.857 1.857 4.921
```

=====

A plane-wave DFT calculation with SCAN was carried out for a PBEsol-optimized structure of BaLiAsO2.

- V (Å³/cell) = 78.5
- crystal system = tetragonal
- formation energy (no corrections) (meV per atom) = -280
- electronic total energy (eV per cell) = -75.99

Structure (extended XYZ):
```
5
Lattice="4.193 0.000 0.000 0.000 4.193 0.000 0.000 0.000 4.467" Properties=species:S:1:pos:R:3 pbc="T T T"
Ba 0.000 0.000 0.000
Li 0.000 0.000 2.234
As 2.096 2.096 0.000
O 0.000 2.096 2.234
O 2.096 0.000 2.234
```

=====

A plane-wave DFT calculation with SCAN was carried out for a PBEsol-optimized structure of Ba2MgAs.

- V (Å³/cell) = 129.7
- E_form (meV per atom) = -413
- crystal system = tetragonal
- electronic total energy (eV per cell) = -105.92

Structure (extended XYZ):
```
4
Lattice="-2.411 2.411 5.579 2.411 -2.411 5.579 2.411 2.411 -5.579" Properties=species:S:1:pos:R:3 pbc="T T T"
Ba 0.000 0.000 0.000
Ba 0.000 2.411 2.789
Mg 0.000 0.000 5.579
As 2.411 0.000 2.789
```

=====

A plane-wave DFT calculation with SCAN was carried out for a PBEsol-optimized structure of Ba2MgAs.

- V (Å³/cell) = 145.1
- E_form (meV per atom) = -385
- crystal system = orthorhombic
- electronic total energy (eV per cell) = -105.81

Structure (extended XYZ):
```
4
Lattice="2.730 -2.824 0.000 2.730 2.824 0.000 0.000 0.000 9.412" Properties=species:S:1:pos:R:3 pbc="T T T"
Ba 0.000 0.000 0.000
Ba 2.730 0.000 3.959
Mg 0.000 0.000 6.275
As 2.730 0.000 7.413
```

=====

A plane-wave DFT calculation with SCAN was carried out for a PBEsol-optimized structure of BaMgAsSe2.

- V (Å³/cell) = 132.5
- crystal system = tetragonal
- formation energy (no corrections) (meV per atom) = -857
- electronic total energy (eV per cell) = -109.16

Structure (extended XYZ):
```
5
Lattice="5.196 0.000 0.000 0.000 5.196 0.000 0.000 0.000 4.908" Properties=species:S:1:pos:R:3 pbc="T T T"
Ba 0.000 0.000 0.000
Mg 2.598 2.598 2.454
As 2.598 2.598 0.000
Se 0.000 2.598 2.454
Se 2.598 0.000 2.454
```

=====

A plane-wave DFT calculation with SCAN was carried out for a PBEsol-optimized structure of BaMn2As.

- V (Å³/cell) = 84.3
- E_form (meV per atom) = -422
- crystal system = trigonal
- electronic total energy (eV per cell) = -97.94

Structure (extended XYZ):
```
4
Lattice="2.019 1.166 5.966 -2.019 1.166 5.966 0.000 -2.332 5.966" Properties=species:S:1:pos:R:3 pbc="T T T"
Ba 0.000 0.000 0.000
Mn 0.000 0.000 3.493
Mn 0.000 0.000 9.087
As 0.000 0.000 14.280
```

=====

A plane-wave DFT calculation with SCAN was carried out for a PBEsol-optimized structure of BaMnAs3.

- V (Å³/cell) = 112.8
- E_form (meV per atom) = -482
- crystal system = cubic
- electronic total energy (eV per cell) = -120.79

Structure (extended XYZ):
```
5
Lattice="4.832 0.000 0.000 0.000 4.832 0.000 0.000 0.000 4.832" Properties=species:S:1:pos:R:3 pbc="T T T"
Ba 0.000 0.000 0.000
Mn 2.416 2.416 2.416
As 0.000 2.416 2.416
As 2.416 0.000 2.416
As 2.416 2.416 0.000
```